DFT (PBE) results for a relaxed structure of OsPbBr2.

abc: 7.2683 7.2683 7.2683
angles: 90.00 90.00 90.00
Closest atoms and distances in Å follow each position.
Element x y z (fractional)
Os (0.0000, 0.0000, 0.0000)  4 Br 3.15, 4 Pb 3.15
Os (0.0000, 0.5000, 0.5000)  4 Pb 3.15, 4 Br 3.15
Os (0.5000, 0.0000, 0.5000)  4 Pb 3.15, 4 Br 3.15
Os (0.5000, 0.5000, 0.0000)  4 Pb 3.15, 4 Br 3.15
Pb (0.2500, 0.2500, 0.7500)  4 Br 3.15, 4 Os 3.15
Pb (0.2500, 0.7500, 0.2500)  4 Br 3.15, 4 Os 3.15
Pb (0.7500, 0.2500, 0.2500)  4 Br 3.15, 4 Os 3.15
Pb (0.7500, 0.7500, 0.7500)  4 Br 3.15, 4 Os 3.15
Br (0.0000, 0.0000, 0.5000)  4 Pb 3.15, 4 Br 3.15
Br (0.0000, 0.5000, 0.0000)  4 Pb 3.15, 4 Br 3.15
Br (0.2500, 0.2500, 0.2500)  4 Br 3.15, 4 Os 3.15
Br (0.2500, 0.7500, 0.7500)  4 Br 3.15, 4 Os 3.15
Br (0.5000, 0.0000, 0.0000)  4 Pb 3.15, 4 Br 3.15
Br (0.5000, 0.5000, 0.5000)  4 Pb 3.15, 4 Br 3.15
Br (0.7500, 0.2500, 0.7500)  4 Br 3.15, 4 Os 3.15
Br (0.7500, 0.7500, 0.2500)  4 Br 3.15, 4 Os 3.15

Computed properties:
space group: No. 216
E_form (uncorrected): 105.33 kJ/mol of atoms
VASP energy: -3.48 eV per atom
energy relative to the lowest polymorph listed for this composition: 820.9 meV per atom

=====

DFT (PBE) results for a relaxed structure of OsPbBr2.

abc: 5.3240 12.7709 3.8352
angles: 90.00 90.00 90.00
Closest atoms and distances in Å follow each position.
Element x y z (fractional)
Os (0.0000, 0.0000, 0.0000)  4 Br 2.56, 2 Pb 2.66
Os (0.5000, 0.5000, 0.0000)  4 Br 2.56, 2 Pb 2.66
Pb (0.0000, 0.5000, 0.0000)  2 Os 2.66
Pb (0.5000, 0.0000, 0.0000)  2 Os 2.66
Br (0.0000, 0.1327, 0.5000)  2 Os 2.56
Br (0.0000, 0.8673, 0.5000)  2 Os 2.56
Br (0.5000, 0.3673, 0.5000)  2 Os 2.56
Br (0.5000, 0.6327, 0.5000)  2 Os 2.56

Computed properties:
space group: No. 65
E_form (uncorrected): 26.13 kJ/mol of atoms
VASP energy: -4.30 eV per atom
energy relative to the lowest polymorph listed for this composition: 0.0 meV per atom

=====

DFT (PBE) results for a relaxed structure of OsPbBr2.

abc: 7.2706 7.2706 7.2706
angles: 90.00 90.00 90.00
Closest atoms and distances in Å follow each position.
Element x y z (fractional)
Os (0.0000, 0.0000, 0.0000)  8 Br 3.15
Os (0.0000, 0.5000, 0.5000)  8 Br 3.15
Os (0.5000, 0.0000, 0.5000)  8 Br 3.15
Os (0.5000, 0.5000, 0.0000)  8 Br 3.15
Pb (0.0000, 0.0000, 0.5000)  8 Br 3.15
Pb (0.0000, 0.5000, 0.0000)  8 Br 3.15
Pb (0.5000, 0.0000, 0.0000)  8 Br 3.15
Pb (0.5000, 0.5000, 0.5000)  8 Br 3.15
Br (0.2500, 0.2500, 0.2500)  4 Pb 3.15, 4 Os 3.15
Br (0.2500, 0.2500, 0.7500)  4 Pb 3.15, 4 Os 3.15
Br (0.2500, 0.7500, 0.2500)  4 Pb 3.15, 4 Os 3.15
Br (0.2500, 0.7500, 0.7500)  4 Pb 3.15, 4 Os 3.15
Br (0.7500, 0.2500, 0.2500)  4 Pb 3.15, 4 Os 3.15
Br (0.7500, 0.2500, 0.7500)  4 Pb 3.15, 4 Os 3.15
Br (0.7500, 0.7500, 0.2500)  4 Pb 3.15, 4 Os 3.15
Br (0.7500, 0.7500, 0.7500)  4 Os 3.15, 4 Pb 3.15

Computed properties:
space group: No. 225
E_form (uncorrected): 98.92 kJ/mol of atoms
VASP energy: -3.55 eV per atom
energy relative to the lowest polymorph listed for this composition: 754.4 meV per atom

=====

DFT (PBE) results for a relaxed structure of RbOs2PbBr.

abc: 5.0559 5.0559 5.8273
angles: 90.00 90.00 90.00
Closest atoms and distances in Å follow each position.
Element x y z (fractional)
Rb (0.0000, 0.0000, 0.0000)  4 Os 2.53
Os (0.0000, 0.5000, 0.0000)  2 Rb 2.53
Os (0.5000, 0.0000, 0.0000)  2 Rb 2.53
Pb (0.5000, 0.5000, 0.5000)  4 Br 3.58, 8 Os 3.86
Br (0.0000, 0.0000, 0.5000)  2 Rb 2.91

Computed properties:
space group: No. 123
E_form (uncorrected): 262.45 kJ/mol of atoms
VASP energy: -3.04 eV per atom

=====

DFT (PBE) results for a relaxed structure of Rb2OsPbBr6.

abc: 7.8218 7.8218 7.8218
angles: 60.00 60.00 60.00
Closest atoms and distances in Å follow each position.
Element x y z (fractional)
Rb (0.2500, 0.2500, 0.2500)  12 Br 3.92
Rb (0.7500, 0.7500, 0.7500)  12 Br 3.92
Os (0.0000, 0.0000, 0.0000)  6 Br 2.55
Pb (0.5000, 0.5000, 0.5000)  6 Br 2.98
Br (0.2306, 0.2306, 0.7694)  1 Os 2.55
Br (0.2306, 0.7694, 0.2306)  1 Os 2.55
Br (0.2306, 0.7694, 0.7694)  1 Os 2.55
Br (0.7694, 0.2306, 0.2306)  1 Os 2.55
Br (0.7694, 0.2306, 0.7694)  1 Os 2.55
Br (0.7694, 0.7694, 0.2306)  1 Os 2.55

Computed properties:
space group: No. 225
E_form (uncorrected): -74.83 kJ/mol of atoms
VASP energy: -3.47 eV per atom

=====

DFT (PBE) results for a relaxed structure of OsPb2SBr.

abc: 5.8610 5.8610 4.2346
angles: 90.00 90.00 90.00
Closest atoms and distances in Å follow each position.
Element x y z (fractional)
Os (0.0000, 0.0000, 0.0000)  2 S 2.12
Pb (0.0000, 0.5000, 0.5000)  2 S 2.93
Pb (0.5000, 0.0000, 0.5000)  2 S 2.93
S (0.0000, 0.0000, 0.5000)  2 Os 2.12
Br (0.5000, 0.5000, 0.0000)  8 Pb 3.62

Computed properties:
space group: No. 123
E_form (uncorrected): 37.41 kJ/mol of atoms
VASP energy: -4.50 eV per atom

=====

DFT (PBE) results for a relaxed structure of ScOsPbBr2.

abc: 5.3494 5.3494 5.3583
angles: 90.00 90.00 90.00
Closest atoms and distances in Å follow each position.
Element x y z (fractional)
Sc (0.0000, 0.0000, 0.0000)  4 Br 2.67, 2 Os 2.68
Os (0.0000, 0.0000, 0.5000)  2 Sc 2.68
Pb (0.5000, 0.5000, 0.5000)  4 Os 3.78, 8 Br 3.79
Br (0.0000, 0.5000, 0.0000)  2 Sc 2.67
Br (0.5000, 0.0000, 0.0000)  2 Sc 2.67

Computed properties:
space group: No. 123
E_form (uncorrected): 29.64 kJ/mol of atoms
VASP energy: -4.62 eV per atom

=====

DFT (PBE) results for a relaxed structure of OsPbSeBr2.

abc: 5.3117 5.3117 4.7470
angles: 90.00 90.00 90.00
Closest atoms and distances in Å follow each position.
Element x y z (fractional)
Os (0.0000, 0.0000, 0.0000)  2 Se 2.37, 4 Br 2.66
Pb (0.5000, 0.5000, 0.5000)  8 Br 3.56, 4 Se 3.76
Se (0.0000, 0.0000, 0.5000)  2 Os 2.37
Br (0.0000, 0.5000, 0.0000)  2 Os 2.66
Br (0.5000, 0.0000, 0.0000)  2 Os 2.66

Computed properties:
space group: No. 123
E_form (uncorrected): 27.92 kJ/mol of atoms
VASP energy: -4.06 eV per atom
energy relative to the lowest polymorph listed for this composition: 0.0 meV per atom

=====

DFT (PBE) results for a relaxed structure of OsPbSeBr2.

abc: 5.7296 5.7296 5.5840
angles: 90.00 90.00 90.00
Closest atoms and distances in Å follow each position.
Element x y z (fractional)
Os (0.0000, 0.0000, 0.0000)  8 Br 4.00, 4 Se 4.05
Pb (0.5000, 0.5000, 0.5000)  2 Se 2.79, 4 Br 2.86
Se (0.5000, 0.5000, 0.0000)  2 Pb 2.79
Br (0.0000, 0.5000, 0.5000)  2 Pb 2.86
Br (0.5000, 0.0000, 0.5000)  2 Pb 2.86

Computed properties:
space group: No. 123
E_form (uncorrected): 121.63 kJ/mol of atoms
VASP energy: -3.09 eV per atom
energy relative to the lowest polymorph listed for this composition: 971.3 meV per atom

=====

DFT (PBE) results for a relaxed structure of Tl2OsPbBr.

abc: 6.2403 6.2403 5.1437
angles: 90.00 90.00 90.00
Closest atoms and distances in Å follow each position.
Element x y z (fractional)
Tl (0.0000, 0.5000, 0.0000)  2 Pb 3.12
Tl (0.5000, 0.0000, 0.0000)  2 Pb 3.12
Os (0.0000, 0.0000, 0.5000)  2 Pb 2.57
Pb (0.0000, 0.0000, 0.0000)  2 Os 2.57
Br (0.5000, 0.5000, 0.5000)  8 Tl 4.04, 4 Os 4.41

Computed properties:
space group: No. 123
E_form (uncorrected): 96.17 kJ/mol of atoms
VASP energy: -3.27 eV per atom

=====

DFT (PBE) results for a relaxed structure of VOs2PbBr.

abc: 4.6796 4.6796 4.5192
angles: 90.00 90.00 90.00
Closest atoms and distances in Å follow each position.
Element x y z (fractional)
V (0.0000, 0.0000, 0.0000)  2 Br 2.26
Os (0.0000, 0.5000, 0.5000)  2 Br 2.34
Os (0.5000, 0.0000, 0.5000)  2 Br 2.34
Pb (0.5000, 0.5000, 0.0000)  8 Os 3.25, 4 V 3.31
Br (0.0000, 0.0000, 0.5000)  2 V 2.26, 4 Os 2.34

Computed properties:
space group: No. 123
E_form (uncorrected): 173.04 kJ/mol of atoms
VASP energy: -5.60 eV per atom

=====

DFT (PBE) results for a relaxed structure of OsPbW2Br.

abc: 4.8530 4.8530 5.3491
angles: 90.00 90.00 90.00
Closest atoms and distances in Å follow each position.
Element x y z (fractional)
Os (0.0000, 0.0000, 0.0000)  4 W 2.43, 2 Pb 2.67
Pb (0.0000, 0.0000, 0.5000)  2 Os 2.67
W (0.0000, 0.5000, 0.0000)  2 Os 2.43
W (0.5000, 0.0000, 0.0000)  2 Os 2.43
Br (0.5000, 0.5000, 0.5000)  4 Pb 3.43, 8 W 3.61

Computed properties:
space group: No. 123
E_form (uncorrected): 166.36 kJ/mol of atoms
VASP energy: -6.78 eV per atom

=====

DFT (PBE) results for a relaxed structure of ZrOsPbBr2.

abc: 5.4804 5.4804 6.0656
angles: 90.00 90.00 90.00
Closest atoms and distances in Å follow each position.
Element x y z (fractional)
Zr (0.0000, 0.0000, 0.0000)  2 Pb 3.03
Os (0.5000, 0.5000, 0.0000)  4 Zr 3.88, 8 Br 4.09
Pb (0.0000, 0.0000, 0.5000)  4 Br 2.74, 2 Zr 3.03
Br (0.0000, 0.5000, 0.5000)  2 Pb 2.74
Br (0.5000, 0.0000, 0.5000)  2 Pb 2.74

Computed properties:
space group: No. 123
E_form (uncorrected): 159.04 kJ/mol of atoms
VASP energy: -3.72 eV per atom

=====

DFT (PBE) results for a relaxed structure of Os3PdBr.

abc: 4.8790 4.8790 4.8790
angles: 90.00 90.00 90.00
Closest atoms and distances in Å follow each position.
Element x y z (fractional)
Os (0.0000, 0.0000, 0.5000)  2 Pd 2.44
Os (0.0000, 0.5000, 0.0000)  2 Pd 2.44
Os (0.5000, 0.0000, 0.0000)  2 Pd 2.44
Pd (0.0000, 0.0000, 0.0000)  6 Os 2.44
Br (0.5000, 0.5000, 0.5000)  12 Os 3.45

Computed properties:
space group: No. 221
E_form (uncorrected): 272.27 kJ/mol of atoms
VASP energy: -5.29 eV per atom
energy relative to the lowest polymorph listed for this composition: 401.2 meV per atom